No. 1
This record from Alexandria describes a geometry-optimized SbAsRh2 structure. The functional is PBE-GGA.

a = 8.067 Å, b = 8.067 Å, c = 8.067 Å
α = 24.13°, β = 24.13°, γ = 24.13°
Element x y z (fractional)
As  0.733  0.733  0.733
Sb  0.510  0.510  0.510
Rh  0.248  0.248  0.248
Rh  0.009  0.009  0.009

Results
- VASP energy (eV for the cell shown) = -23.7
- M_tot (Bohr magnetons per cell) = 0.00
- raw formation energy (eV per formula unit) = -0.19

---

No. 2
This record from Alexandria describes a geometry-optimized SbAs2Rh structure. The functional is PBE-GGA.

a = 3.305 Å, b = 3.305 Å, c = 7.282 Å
α = 90.00°, β = 90.00°, γ = 90.00°
Element x y z (fractional)
As  0.000  0.000  0.075
As  0.500  0.500  0.271
Rh  0.000  0.000  0.465
Sb  0.500  0.500  0.689

Results
- VASP energy (eV for the cell shown) = -20.8
- M_tot (Bohr magnetons per cell) = 0.00
- raw formation energy (eV per formula unit) = -0.02

---

No. 3
This record from Alexandria describes a geometry-optimized SbAs2Rh structure. The functional is PBE-GGA.

a = 4.743 Å, b = 4.743 Å, c = 4.743 Å
α = 60.00°, β = 60.00°, γ = 60.00°
Element x y z (fractional)
As  0.250  0.250  0.250
As  0.000  0.000  0.000
Sb  0.750  0.750  0.750
Rh  0.500  0.500  0.500

Results
- VASP energy (eV for the cell shown) = -19.8
- M_tot (Bohr magnetons per cell) = 0.00
- raw formation energy (eV per formula unit) = 0.97

---

No. 4
This record from Alexandria describes a geometry-optimized SbAs2Rh structure. The functional is PBE-GGA.

a = 6.144 Å, b = 6.144 Å, c = 6.144 Å
α = 150.75°, β = 134.46°, γ = 55.05°
Element x y z (fractional)
As  0.558  0.558  0.000
As  0.942  0.942  0.000
Sb  0.250  0.750  0.500
Rh  0.750  0.250  0.500

Results
- VASP energy (eV for the cell shown) = -20.6
- M_tot (Bohr magnetons per cell) = 0.00
- raw formation energy (eV per formula unit) = 0.21

---

No. 5
This record from Alexandria describes a geometry-optimized SbAs2Rh structure. The functional is PBE-GGA.

a = 3.887 Å, b = 5.804 Å, c = 3.888 Å
α = 71.27°, β = 87.64°, γ = 108.73°
Element x y z (fractional)
As  0.000  0.000  0.000
As  0.500  0.000  0.500
Rh  0.000  0.500  0.500
Sb  0.500  0.500  0.000

Results
- VASP energy (eV for the cell shown) = -20.5
- M_tot (Bohr magnetons per cell) = 0.00
- raw formation energy (eV per formula unit) = 0.31

---

No. 6
This record from Alexandria describes a geometry-optimized Sb3AsRh structure. The functional is PBE-GGA.

a = 5.130 Å, b = 5.130 Å, c = 5.130 Å
α = 90.00°, β = 90.00°, γ = 90.00°
Element x y z (fractional)
Sb  0.000  0.000  0.500
Sb  0.000  0.500  0.000
Sb  0.500  0.000  0.000
As  0.500  0.500  0.500
Rh  0.000  0.000  0.000

Results
- relative energy among the computed polymorphs (eV per atom) = 0.000
- VASP energy (eV for the cell shown) = -22.2
- M_tot (Bohr magnetons per cell) = 0.00
- raw formation energy (eV per formula unit) = 2.12

---

No. 7
This record from Alexandria describes a geometry-optimized Sb8AsRh2 structure. The functional is PBE-GGA.

a = 4.937 Å, b = 8.801 Å, c = 8.632 Å
α = 120.69°, β = 97.96°, γ = 90.11°
Element x y z (fractional)
Sb  0.677  0.867  0.179
Sb  0.323  0.133  0.821
Sb  0.096  0.598  0.198
Sb  0.352  0.173  0.347
Sb  0.677  0.312  0.179
Sb  0.323  0.688  0.820
Sb  0.648  0.827  0.653
Sb  0.904  0.402  0.802
Rh  0.616  0.654  0.308
Rh  0.384  0.346  0.692
As  0.000  0.000  0.000

Results
- VASP energy (eV for the cell shown) = -51.8
- M_tot (Bohr magnetons per cell) = 0.00
- raw formation energy (eV per formula unit) = 0.49

---

No. 8
This record from Alexandria describes a geometry-optimized SbAs2Rh structure. The functional is PBE-GGA.

a = 4.742 Å, b = 4.742 Å, c = 3.372 Å
α = 90.00°, β = 90.00°, γ = 90.00°
Element x y z (fractional)
As  0.000  0.000  0.000
As  0.500  0.500  0.000
Rh  0.500  0.000  0.500
Sb  0.000  0.500  0.500

Results
- VASP energy (eV for the cell shown) = -19.6
- M_tot (Bohr magnetons per cell) = 0.00
- raw formation energy (eV per formula unit) = 1.18